! NaHg2BrO2 PBE optimized geometry; values from VASP
! **Energy**: -54.36 eV for the cell shown
&SYSTEM
  ibrav = 0, nat = 18, ntyp = 4
/
ATOMIC_SPECIES
Hg 200.59 Hg.upf
Na 22.99 Na.upf
O 16.00 O.upf
Br 79.90 Br.upf
CELL_PARAMETERS angstrom
-2.233 -2.004 -5.938
6.425 1.537 0.793
1.936 -9.345 2.425
ATOMIC_POSITIONS crystal
Hg 0.000 0.500 0.994
Hg 0.500 0.500 0.661
Hg 0.500 0.000 0.672
Hg 0.500 0.000 0.328
Hg 0.000 0.500 0.339
Hg 0.500 0.500 0.006
Na 0.000 0.000 0.500
Na 0.000 0.000 0.167
Na 0.000 0.000 0.833
O 0.146 0.854 0.333
O 0.709 0.854 0.667
O 0.854 0.146 0.333
O 0.854 0.709 0.000
O 0.146 0.291 0.000
O 0.291 0.146 0.667
Br 0.500 0.500 0.333
Br 0.000 0.500 0.667
Br 0.500 0.000 0.000